Record 1
VASP calculation (meta-GGA SCAN) on a PBEsol-optimized structure of MgTl2Si.

It has space group P4/mmm (No. 123), with a = 3.7481 Å, b = 3.7481 Å, c = 6.5428 Å, α = 90.00°, β = 90.00° and γ = 90.00°. Symmetry generates all atoms from Mg at (0.0000, 0.0000, 0.0000), Tl at (0.5000, 0.5000, 0.2609) and Si at (0.0000, 0.0000, 0.5000).

For the calculated volume, the calculation gives 23.0 Å³ per atom. For the uncorrected formation energy, the calculation gives 129.9 kJ/mol of formula units. The density of states at the Fermi level comes out at 2.02 states/eV/cell. Its size of the total moment is 0.00 μB per formula unit. The crystal system is tetragonal. For the calculated density, the calculation gives 8.331 g/cm³.

=====

Record 2
VASP calculation (meta-GGA SCAN) on a PBEsol-optimized structure of MgTl2Si.

It has space group Pmmm (No. 47), with a = 3.4885 Å, b = 4.9825 Å, c = 5.3329 Å, α = 90.00°, β = 90.00° and γ = 90.00°. Symmetry generates all atoms from Mg at (0.0000, 0.0000, 0.0000), Tl at (0.0000, 0.5000, 0.5000), Tl at (0.5000, 0.5000, 0.0000) and Si at (0.5000, 0.0000, 0.5000).

For the calculated volume, the calculation gives 23.2 Å³ per atom. For the uncorrected formation energy, the calculation gives 127.5 kJ/mol of formula units. The density of states at the Fermi level comes out at 1.86 states/eV/cell. Its size of the total moment is 0.00 μB per formula unit. The crystal system is orthorhombic. For the calculated density, the calculation gives 8.261 g/cm³.

=====

Record 3
VASP calculation (meta-GGA SCAN) on a PBEsol-optimized structure of Tm2MgSi2.

It has space group P4/mbm (No. 127), with a = 7.0293 Å, b = 7.0293 Å, c = 4.0976 Å, α = 90.00°, β = 90.00° and γ = 90.00°. Symmetry generates all atoms from Tm at (0.1776, 0.3224, 0.0000), Mg at (0.0000, 0.0000, 0.5000) and Si at (0.1194, 0.6194, 0.5000).

For the calculated volume, the calculation gives 20.2 Å³ per atom. For the uncorrected formation energy, the calculation gives -352.0 kJ/mol of formula units. The density of states at the Fermi level comes out at 2.97 states/eV/cell. Its size of the total moment is 0.00 μB per formula unit. The crystal system is tetragonal. For the calculated density, the calculation gives 6.862 g/cm³.